[1]
Density functional theory data (PBE-GGA) for an optimized crystal structure of NpAg2BiO6.

```
data_NpAg2BiO6
_space_group_name_H-M_alt 'P 1 21/c 1'
_space_group_IT_number 14
_cell_length_a 5.851
_cell_length_b 5.965
_cell_length_c 10.248
_cell_angle_alpha 90.00
_cell_angle_beta 124.42
_cell_angle_gamma 90.00
loop_
_space_group_symop_operation_xyz
'x,y,z'
'-x,-y,-z'
'-x,y+1/2,-z+1/2'
'x,-y+1/2,z+1/2'
loop_
_atom_site_label
_atom_site_type_symbol
_atom_site_fract_x
_atom_site_fract_y
_atom_site_fract_z
_atom_site_occupancy
Np1 Np 0.000 0.000 0.000 1
Ag1 Ag 0.245 0.033 0.747 1
Bi1 Bi 0.500 0.000 0.500 1
O1 O 0.113 0.212 0.445 1
O2 O 0.233 0.677 0.445 1
O3 O 0.336 0.041 0.233 1
```

formation energy (no corrections)	-1.446	eV per atom

***

[2]
Density functional theory data (PBE-GGA) for an optimized crystal structure of TcRuSe2.

```
data_TcRuSe2
_space_group_name_H-M_alt 'F -4 3 m'
_space_group_IT_number 216
_space_group_name_Hall 'F -4 2 3'
_cell_length_a 6.378
_cell_length_b 6.378
_cell_length_c 6.378
_cell_angle_alpha 90.00
_cell_angle_beta 90.00
_cell_angle_gamma 90.00
loop_
_atom_site_label
_atom_site_type_symbol
_atom_site_fract_x
_atom_site_fract_y
_atom_site_fract_z
_atom_site_occupancy
Tc1 Tc 0.000 0.000 0.000 1
Ru1 Ru 0.250 0.250 0.750 1
Se1 Se 0.000 0.000 0.500 1
Se2 Se 0.250 0.250 0.250 1
```

formation energy (no corrections)	0.736	eV per atom
relative energy among the computed polymorphs	0.813	eV per atom

***

[3]
Density functional theory data (PBE-GGA) for an optimized crystal structure of Dy12Tl6N.

```
data_Dy12Tl6N
_space_group_name_H-M_alt 'R -3'
_space_group_IT_number 148
_space_group_name_Hall '-R 3'
_cell_length_a 12.0846
_cell_length_b 12.0846
_cell_length_c 12.9946
_cell_angle_alpha 90.00
_cell_angle_beta 90.00
_cell_angle_gamma 120.00
loop_
_atom_site_label
_atom_site_type_symbol
_atom_site_fract_x
_atom_site_fract_y
_atom_site_fract_z
_atom_site_occupancy
Dy1 Dy 0.0334 0.8498 0.3833 1
Dy2 Dy 0.0345 0.1771 0.8906 1
Tl1 Tl 0.0010 0.6096 0.2477 1
N1 N 0.0000 0.0000 0.0000 1
```

formation energy (no corrections)	-0.324	eV per atom

***

[4]
Density functional theory data (PBE-GGA) for an optimized crystal structure of TeRh2Au.

```
data_TeRh2Au
_space_group_name_H-M_alt 'F -4 3 m'
_space_group_IT_number 216
_space_group_name_Hall 'F -4 2 3'
_cell_length_a 6.534
_cell_length_b 6.534
_cell_length_c 6.534
_cell_angle_alpha 90.00
_cell_angle_beta 90.00
_cell_angle_gamma 90.00
loop_
_atom_site_label
_atom_site_type_symbol
_atom_site_fract_x
_atom_site_fract_y
_atom_site_fract_z
_atom_site_occupancy
Te1 Te 0.000 0.000 0.000 1
Rh1 Rh 0.000 0.000 0.500 1
Rh2 Rh 0.250 0.250 0.250 1
Au1 Au 0.250 0.250 0.750 1
```

formation energy (no corrections)	0.219	eV per atom

***

[5]
Density functional theory data (PBE-GGA) for an optimized crystal structure of Ca2Zn5Pd.

```
data_Ca2Zn5Pd
_space_group_name_H-M_alt 'C m c m'
_space_group_IT_number 63
_space_group_name_Hall '-C 2c 2'
_cell_length_a 4.256
_cell_length_b 16.312
_cell_length_c 9.222
_cell_angle_alpha 90.00
_cell_angle_beta 90.00
_cell_angle_gamma 90.00
loop_
_atom_site_label
_atom_site_type_symbol
_atom_site_fract_x
_atom_site_fract_y
_atom_site_fract_z
_atom_site_occupancy
Ca1 Ca 0.000 0.000 0.000 1
Ca2 Ca 0.000 0.190 0.250 1
Zn1 Zn 0.000 0.190 0.611 1
Zn2 Zn 0.000 0.351 0.523 1
Zn3 Zn 0.000 0.398 0.250 1
Pd1 Pd 0.000 0.444 0.750 1
```

energy of formation	-0.343	eV per atom

***

[6]
Density functional theory data (PBE-GGA) for an optimized crystal structure of Pm2HfTi.

```
data_Pm2HfTi
_space_group_name_H-M_alt 'R -3 m'
_space_group_IT_number 166
_space_group_name_Hall '-R 3 2"'
_cell_length_a 3.2685
_cell_length_b 3.2685
_cell_length_c 33.9827
_cell_angle_alpha 90.00
_cell_angle_beta 90.00
_cell_angle_gamma 120.00
loop_
_atom_site_label
_atom_site_type_symbol
_atom_site_fract_x
_atom_site_fract_y
_atom_site_fract_z
_atom_site_occupancy
Pm1 Pm 0.0000 0.0000 0.0865 1
Hf1 Hf 0.0000 0.0000 0.5000 1
Ti1 Ti 0.0000 0.0000 0.0000 1
```

energy of formation	0.485	eV per atom

***

[7]
Density functional theory data (PBE-GGA) for an optimized crystal structure of LiGd2Ru.

```
data_LiGd2Ru
_space_group_name_H-M_alt 'F m -3 m'
_space_group_IT_number 225
_space_group_name_Hall '-F 4 2 3'
_cell_length_a 7.007
_cell_length_b 7.007
_cell_length_c 7.007
_cell_angle_alpha 90.00
_cell_angle_beta 90.00
_cell_angle_gamma 90.00
loop_
_atom_site_label
_atom_site_type_symbol
_atom_site_fract_x
_atom_site_fract_y
_atom_site_fract_z
_atom_site_occupancy
Li1 Li 0.000 0.000 0.000 1
Gd1 Gd 0.250 0.250 0.250 1
Ru1 Ru 0.000 0.000 0.500 1
```

energy of formation	-0.231	eV per atom
relative energy among the computed polymorphs	0.000	eV per atom

***

[8]
Density functional theory data (PBE-GGA) for an optimized crystal structure of LaIrW2.

```
data_LaIrW2
_space_group_name_H-M_alt 'C 1 2/m 1'
_space_group_IT_number 12
_cell_length_a 10.760
_cell_length_b 2.869
_cell_length_c 5.129
_cell_angle_alpha 90.00
_cell_angle_beta 104.55
_cell_angle_gamma 90.00
loop_
_space_group_symop_operation_xyz
'x,y,z'
'-x,-y,-z'
'-x,y,-z'
'x,-y,z'
'x+1/2,y+1/2,z'
'-x+1/2,-y+1/2,-z'
'-x+1/2,y+1/2,-z'
'x+1/2,-y+1/2,z'
loop_
_atom_site_label
_atom_site_type_symbol
_atom_site_fract_x
_atom_site_fract_y
_atom_site_fract_z
_atom_site_occupancy
La1 La 0.000 0.000 0.000 1
Ir1 Ir 0.000 0.500 0.500 1
W1 W 0.217 0.000 0.712 1
```

energy of formation	0.369	eV per atom
relative energy among the computed polymorphs	0.153	eV per atom

***

[9]
Density functional theory data (PBE-GGA) for an optimized crystal structure of KPmTe2O6.

```
data_KPmTe2O6
_space_group_name_H-M_alt 'R -3'
_space_group_IT_number 148
_space_group_name_Hall '-R 3'
_cell_length_a 5.9984
_cell_length_b 5.9984
_cell_length_c 18.6446
_cell_angle_alpha 90.00
_cell_angle_beta 90.00
_cell_angle_gamma 120.00
loop_
_atom_site_label
_atom_site_type_symbol
_atom_site_fract_x
_atom_site_fract_y
_atom_site_fract_z
_atom_site_occupancy
K1 K 0.0000 0.0000 0.0000 1
Pm1 Pm 0.0000 0.0000 0.5000 1
Te1 Te 0.0000 0.0000 0.2822 1
O1 O 0.0220 0.4117 0.9066 1
```

formation energy (no corrections)	-1.778	eV per atom

***

[10]
Density functional theory data (PBE-GGA) for an optimized crystal structure of CaSc2Rh.

```
data_CaSc2Rh
_space_group_name_H-M_alt 'P 4/m m m'
_space_group_IT_number 123
_space_group_name_Hall '-P 4 2'
_cell_length_a 4.594
_cell_length_b 4.594
_cell_length_c 4.108
_cell_angle_alpha 90.00
_cell_angle_beta 90.00
_cell_angle_gamma 90.00
loop_
_atom_site_label
_atom_site_type_symbol
_atom_site_fract_x
_atom_site_fract_y
_atom_site_fract_z
_atom_site_occupancy
Ca1 Ca 0.000 0.000 0.000 1
Sc1 Sc 0.000 0.500 0.500 1
Rh1 Rh 0.500 0.500 0.000 1
```

energy of formation	-0.106	eV per atom
relative energy among the computed polymorphs	0.287	eV per atom

***

[11]
Density functional theory data (PBE-GGA) for an optimized crystal structure of SrDyIrPd.

```
data_SrDyIrPd
_space_group_name_H-M_alt 'F -4 3 m'
_space_group_IT_number 216
_space_group_name_Hall 'F -4 2 3'
_cell_length_a 7.087
_cell_length_b 7.087
_cell_length_c 7.087
_cell_angle_alpha 90.00
_cell_angle_beta 90.00
_cell_angle_gamma 90.00
loop_
_atom_site_label
_atom_site_type_symbol
_atom_site_fract_x
_atom_site_fract_y
_atom_site_fract_z
_atom_site_occupancy
Sr1 Sr 0.000 0.000 0.000 1
Dy1 Dy 0.000 0.000 0.500 1
Ir1 Ir 0.250 0.250 0.250 1
Pd1 Pd 0.250 0.250 0.750 1
```

energy of formation	-0.522	eV per atom

***

[12]
Density functional theory data (PBE-GGA) for an optimized crystal structure of SrInF3.

```
data_SrInF3
_space_group_name_H-M_alt 'P m -3 m'
_space_group_IT_number 221
_space_group_name_Hall '-P 4 2 3'
_cell_length_a 4.770
_cell_length_b 4.770
_cell_length_c 4.770
_cell_angle_alpha 90.00
_cell_angle_beta 90.00
_cell_angle_gamma 90.00
loop_
_atom_site_label
_atom_site_type_symbol
_atom_site_fract_x
_atom_site_fract_y
_atom_site_fract_z
_atom_site_occupancy
Sr1 Sr 0.000 0.000 0.000 1
In1 In 0.500 0.500 0.500 1
F1 F 0.000 0.000 0.500 1
```

formation energy (no corrections)	-2.868	eV per atom
relative energy among the computed polymorphs	0.000	eV per atom